[1]
6
Lattice="5.6321 3.2517 9.1972 -5.6321 3.2517 9.1972 0.0000 -6.5034 9.1972" Properties=species:S:1:pos:R:3 comment="SrHo2, relaxed, DFT PBE" m_tot_mub_per_cell=8.0 de_polymorph_ev_per_fu=6.97 density_g_cm3=1.37 pbc="T T T"
Sr 0.0000 0.0000 13.7957
Sr 0.0000 0.0000 6.8979
Ho 0.0000 0.0000 10.3468
Ho 0.0000 -3.2517 14.9454
Ho 2.8160 1.6258 14.9454
Ho -2.8160 1.6258 14.9454


[2]
6
Lattice="-3.6047 0.8916 2.2930 0.9720 -4.1308 -1.0190 5.5471 -0.9356 9.0839" Properties=species:S:1:pos:R:3 comment="Dy2TmSb3, relaxed, DFT PBE" e_tot_ev_per_atom=-5.45 m_tot_mub_per_cell=0.0 density_g_cm3=8.10 pbc="T T T"
Sb 0.0000 0.0000 0.0000
Sb 3.1285 -3.0777 6.1147
Sb -0.2141 -1.0971 4.2433
Tm 2.7735 -0.4678 4.5419
Dy 2.5365 -1.5611 8.7476
Dy 0.3779 -2.6138 1.6103


[3]
3
Lattice="0.0000 3.6327 3.6327 3.6327 0.0000 3.6327 3.6327 3.6327 0.0000" Properties=species:S:1:pos:R:3 comment="NaTmTl, relaxed, DFT PBE" m_tot_mub_per_cell=0.9 de_polymorph_ev_per_fu=0.78 density_g_cm3=6.86 pbc="T T T"
Na 1.8164 1.8164 1.8164
Tm 0.0000 0.0000 0.0000
Tl 5.4491 5.4491 5.4491